No. 1
Material: Li2FeW
Method: DFT, PBE
State: relaxed

Properties
E_tot = -21.167 eV for the cell shown
symmetry = Fm-3m

The structure in POSCAR format:
```
Li2FeW
1.0
0.000 2.875 2.875
2.875 0.000 2.875
2.875 2.875 0.000
Li Fe W
2 1 1
Cartesian
1.438 1.438 1.438
4.313 4.313 4.313
0.000 0.000 0.000
2.875 2.875 2.875
```

No. 2
Material: HfTiPb
Method: DFT, PBE
State: relaxed

Properties
E_tot = -43.240 eV for the cell shown
symmetry = Cmcm

The structure in POSCAR format:
```
HfTiPb
1.0
2.571 -4.773 0.000
2.571 4.773 0.000
0.000 0.000 5.148
Hf Ti Pb
2 2 2
Cartesian
2.571 3.977 3.861
2.571 -3.977 1.287
2.571 0.747 3.861
2.571 -0.747 1.287
2.571 2.366 1.287
2.571 -2.366 3.861
```

Q: What is the formula in the first record?
A: Li2FeW

Q: Among the records above, which one has the highest E_tot?
A: Li2FeW

Q: Look up the E_tot of the first one.
A: -21.167 eV for the cell shown

Q: Which formula does entry 1 have?
A: Li2FeW